The following is a PBE-GGA calculation of crystalline DyHoMnCo at its relaxed geometry, from the Alexandria database.

Cell and atoms, written as CIF:
```
data_DyHoMnCo
_cell_length_a 6.8869
_cell_length_b 6.8869
_cell_length_c 6.8869
_cell_angle_alpha 90.00
_cell_angle_beta 90.00
_cell_angle_gamma 90.00
_symmetry_space_group_name_H-M 'F -4 3 m'
_symmetry_Int_Tables_number 216
_symmetry_space_group_name_Hall 'F -4 2 3'
loop_
_atom_site_label
_atom_site_type_symbol
_atom_site_fract_x
_atom_site_fract_y
_atom_site_fract_z
_atom_site_occupancy
Dy1 Dy 0.0000 0.0000 0.0000 1
Ho1 Ho 0.0000 0.0000 0.5000 1
Mn1 Mn 0.2500 0.2500 0.2500 1
Co1 Co 0.2500 0.2500 0.7500 1
```

Results
E   -100.86 eV per cell
Energy relative to the elements   59.8 meV per atom
V   20.42 Å³ per atom
DOS(E_F)   15.3 states/eV/cell
Mass density   8.974 g/cm3

***

The following is a PBE-GGA calculation of crystalline DyHoCoNi at its relaxed geometry, from the Alexandria database.

Cell and atoms, written as CIF:
```
data_DyHoCoNi
_cell_length_a 6.6905
_cell_length_b 6.6905
_cell_length_c 6.6905
_cell_angle_alpha 90.00
_cell_angle_beta 90.00
_cell_angle_gamma 90.00
_symmetry_space_group_name_H-M 'F -4 3 m'
_symmetry_Int_Tables_number 216
_symmetry_space_group_name_Hall 'F -4 2 3'
loop_
_atom_site_label
_atom_site_type_symbol
_atom_site_fract_x
_atom_site_fract_y
_atom_site_fract_z
_atom_site_occupancy
Dy1 Dy 0.0000 0.0000 0.0000 1
Ho1 Ho 0.0000 0.0000 0.5000 1
Co1 Co 0.2500 0.2500 0.2500 1
Ni1 Ni 0.2500 0.2500 0.7500 1
```

Results
E   -92.64 eV per cell
Energy relative to the elements   -273.4 meV per atom
V   18.72 Å³ per atom
Energy above the lowest structure with this stoichiometry   51 meV per atom
DOS(E_F)   10.9 states/eV/cell
Mass density   9.871 g/cm3

***

The following is a PBE-GGA calculation of crystalline DyHoCoNi at its relaxed geometry, from the Alexandria database.

Cell and atoms, written as CIF:
```
data_DyHoCoNi
_cell_length_a 3.9449
_cell_length_b 3.8230
_cell_length_c 10.4179
_cell_angle_alpha 90.00
_cell_angle_beta 90.00
_cell_angle_gamma 90.00
_symmetry_space_group_name_H-M 'A m m 2'
_symmetry_Int_Tables_number 38
loop_
_symmetry_equiv_pos_as_xyz
'x,y,z'
'-x,-y,z'
'-x,y,z'
'x,-y,z'
'x,y+1/2,z+1/2'
'-x,-y+1/2,z+1/2'
'-x,y+1/2,z+1/2'
'x,-y+1/2,z+1/2'
loop_
_atom_site_label
_atom_site_type_symbol
_atom_site_fract_x
_atom_site_fract_y
_atom_site_fract_z
_atom_site_occupancy
Dy1 Dy 0.0000 0.0000 0.0000 1
Ho1 Ho 0.5000 0.0000 0.7160 1
Co1 Co 0.0000 0.0000 0.2875 1
Ni1 Ni 0.5000 0.0000 0.4247 1
```

Results
E   -46.73 eV per cell
Energy relative to the elements   -324.8 meV per atom
V   19.64 Å³ per atom
Energy above the lowest structure with this stoichiometry   0 meV per atom
DOS(E_F)   5.9 states/eV/cell
Mass density   9.408 g/cm3

***

The following is a PBE-GGA calculation of crystalline DyHoCoOs at its relaxed geometry, from the Alexandria database.

Cell and atoms, written as CIF:
```
data_DyHoCoOs
_cell_length_a 6.7404
_cell_length_b 6.7404
_cell_length_c 6.7404
_cell_angle_alpha 90.00
_cell_angle_beta 90.00
_cell_angle_gamma 90.00
_symmetry_space_group_name_H-M 'F -4 3 m'
_symmetry_Int_Tables_number 216
_symmetry_space_group_name_Hall 'F -4 2 3'
loop_
_atom_site_label
_atom_site_type_symbol
_atom_site_fract_x
_atom_site_fract_y
_atom_site_fract_z
_atom_site_occupancy
Dy1 Dy 0.0000 0.0000 0.0000 1
Ho1 Ho 0.0000 0.0000 0.5000 1
Co1 Co 0.2500 0.2500 0.7500 1
Os1 Os 0.2500 0.2500 0.2500 1
```

Results
E   -112.23 eV per cell
Energy relative to the elements   -135.3 meV per atom
V   19.14 Å³ per atom
DOS(E_F)   16.0 states/eV/cell
Mass density   12.506 g/cm3

***

The following is a PBE-GGA calculation of crystalline DyHoCoPt at its relaxed geometry, from the Alexandria database.

Cell and atoms, written as CIF:
```
data_DyHoCoPt
_cell_length_a 6.8372
_cell_length_b 6.8372
_cell_length_c 6.8372
_cell_angle_alpha 90.00
_cell_angle_beta 90.00
_cell_angle_gamma 90.00
_symmetry_space_group_name_H-M 'F -4 3 m'
_symmetry_Int_Tables_number 216
_symmetry_space_group_name_Hall 'F -4 2 3'
loop_
_atom_site_label
_atom_site_type_symbol
_atom_site_fract_x
_atom_site_fract_y
_atom_site_fract_z
_atom_site_occupancy
Dy1 Dy 0.0000 0.0000 0.0000 1
Ho1 Ho 0.0000 0.0000 0.5000 1
Co1 Co 0.2500 0.2500 0.2500 1
Pt1 Pt 0.2500 0.2500 0.7500 1
```

Results
E   -100.14 eV per cell
Energy relative to the elements   -677.0 meV per atom
V   19.98 Å³ per atom
DOS(E_F)   10.9 states/eV/cell
Mass density   12.083 g/cm3

***

The following is a PBE-GGA calculation of crystalline DyHoCoRh at its relaxed geometry, from the Alexandria database.

Cell and atoms, written as CIF:
```
data_DyHoCoRh
_cell_length_a 6.7581
_cell_length_b 6.7581
_cell_length_c 6.7581
_cell_angle_alpha 90.00
_cell_angle_beta 90.00
_cell_angle_gamma 90.00
_symmetry_space_group_name_H-M 'F -4 3 m'
_symmetry_Int_Tables_number 216
_symmetry_space_group_name_Hall 'F -4 2 3'
loop_
_atom_site_label
_atom_site_type_symbol
_atom_site_fract_x
_atom_site_fract_y
_atom_site_fract_z
_atom_site_occupancy
Dy1 Dy 0.0000 0.0000 0.0000 1
Ho1 Ho 0.0000 0.0000 0.5000 1
Co1 Co 0.2500 0.2500 0.2500 1
Rh1 Rh 0.2500 0.2500 0.7500 1
```

Results
E   -102.71 eV per cell
Energy relative to the elements   -510.1 meV per atom
V   19.29 Å³ per atom
DOS(E_F)   7.2 states/eV/cell
Mass density   10.529 g/cm3

***

The following is a PBE-GGA calculation of crystalline Dy2CoI at its relaxed geometry, from the Alexandria database.

Cell and atoms, written as CIF:
```
data_Dy2CoI
_cell_length_a 3.9526
_cell_length_b 3.9526
_cell_length_c 23.5772
_cell_angle_alpha 90.00
_cell_angle_beta 90.00
_cell_angle_gamma 120.00
_symmetry_space_group_name_H-M 'R 3 m'
_symmetry_Int_Tables_number 160
_symmetry_space_group_name_Hall 'R 3 -2"'
loop_
_atom_site_label
_atom_site_type_symbol
_atom_site_fract_x
_atom_site_fract_y
_atom_site_fract_z
_atom_site_occupancy
Dy1 Dy 0.0000 0.0000 0.0000 1
Dy2 Dy 0.0000 0.0000 0.2149 1
Co1 Co 0.0000 0.0000 0.6073 1
I1 I 0.0000 0.0000 0.4396 1
```

Results
E   -60.43 eV per cell
V   26.58 Å³ per atom
Energy above the lowest structure with this stoichiometry   9 meV per atom
DOS(E_F)   1.7 states/eV/cell
Mass density   7.977 g/cm3

***

The following is a PBE-GGA calculation of crystalline DyCoI at its relaxed geometry, from the Alexandria database.

Cell and atoms, written as CIF:
```
data_DyCoI
_cell_length_a 6.8893
_cell_length_b 3.9847
_cell_length_c 12.6964
_cell_angle_alpha 90.00
_cell_angle_beta 100.50
_cell_angle_gamma 90.00
_symmetry_space_group_name_H-M 'C 1 2/m 1'
_symmetry_Int_Tables_number 12
loop_
_symmetry_equiv_pos_as_xyz
'x,y,z'
'-x,-y,-z'
'-x,y,-z'
'x,-y,z'
'x+1/2,y+1/2,z'
'-x+1/2,-y+1/2,-z'
'-x+1/2,y+1/2,-z'
'x+1/2,-y+1/2,z'
loop_
_atom_site_label
_atom_site_type_symbol
_atom_site_fract_x
_atom_site_fract_y
_atom_site_fract_z
_atom_site_occupancy
Dy1 Dy 0.0492 0.0000 0.1463 1
Co1 Co 0.1658 0.5000 0.9967 1
I1 I 0.2259 0.0000 0.6804 1
```

Results
E   -62.58 eV per cell
V   28.56 Å³ per atom
DOS(E_F)   7.6 states/eV/cell
Mass density   6.751 g/cm3

***

The following is a PBE-GGA calculation of crystalline Dy2CoI at its relaxed geometry, from the Alexandria database.

Cell and atoms, written as CIF:
```
data_Dy2CoI
_cell_length_a 3.9433
_cell_length_b 3.9433
_cell_length_c 23.6133
_cell_angle_alpha 90.00
_cell_angle_beta 90.00
_cell_angle_gamma 120.00
_symmetry_space_group_name_H-M 'R -3 m'
_symmetry_Int_Tables_number 166
_symmetry_space_group_name_Hall '-R 3 2"'
loop_
_atom_site_label
_atom_site_type_symbol
_atom_site_fract_x
_atom_site_fract_y
_atom_site_fract_z
_atom_site_occupancy
Dy1 Dy 0.0000 0.0000 0.2261 1
Co1 Co 0.0000 0.0000 0.5000 1
I1 I 0.0000 0.0000 0.0000 1
```

Results
E   -60.54 eV per cell
V   26.50 Å³ per atom
Energy above the lowest structure with this stoichiometry   0 meV per atom
DOS(E_F)   2.9 states/eV/cell
Mass density   8.003 g/cm3

***

The following is a PBE-GGA calculation of crystalline LaDyCoI at its relaxed geometry, from the Alexandria database.

Cell and atoms, written as CIF:
```
data_LaDyCoI
_cell_length_a 4.0117
_cell_length_b 4.0117
_cell_length_c 24.3477
_cell_angle_alpha 90.00
_cell_angle_beta 90.00
_cell_angle_gamma 120.00
_symmetry_space_group_name_H-M 'R 3 m'
_symmetry_Int_Tables_number 160
_symmetry_space_group_name_Hall 'R 3 -2"'
loop_
_atom_site_label
_atom_site_type_symbol
_atom_site_fract_x
_atom_site_fract_y
_atom_site_fract_z
_atom_site_occupancy
La1 La 0.0000 0.0000 0.0000 1
Dy1 Dy 0.0000 0.0000 0.2135 1
Co1 Co 0.0000 0.0000 0.6065 1
I1 I 0.0000 0.0000 0.7796 1
```

Results
E   -62.02 eV per cell
V   28.28 Å³ per atom
DOS(E_F)   2.9 states/eV/cell
Mass density   7.152 g/cm3